VASP calculation (GGA+U) on Na2W4O13 after structural relaxation.

a b c (Å): 3.850 8.531 8.681
angles (deg): 95.81 102.80 90.00
Fractional positions:
O 0.172 0.847 0.344
W 0.915 0.633 0.828
O 0.997 0.846 0.994
O 0.577 0.355 0.154
O 0.003 0.154 0.006
O 0.593 0.991 0.185
O 0.407 0.009 0.815
O 0.830 0.490 0.659
W 0.085 0.367 0.172
O 0.423 0.645 0.846
W 0.902 0.022 0.806
O 0.828 0.153 0.656
O 0.154 0.190 0.308
Na 0.288 0.309 0.575
O 0.000 0.500 0.000
O 0.846 0.810 0.692
O 0.170 0.510 0.341
W 0.098 0.978 0.194
Na 0.712 0.691 0.425

## Properties
**D(E_F)**: 0.000 states/eV/f.u.
**Total magnetic moment**: 0.00 Bohr magnetons per cell
**VASP energy**: -7.065 eV/atom